w.
This record from the Alexandria database describes AcCeCu2 after structural relaxation. The functional is PBE.

Unit cell a=5.1917 b=5.1917 c=5.1917 alpha=60.00 beta=60.00 gamma=60.00
Last column: nearest neighbours and their distance in Å.
Fractional coordinates of all 4 atoms:
Ac: 0.0000 0.0000 0.0000  8 Cu 3.18
Cu: 0.2500 0.2500 0.2500  4 Ac 3.18, 4 Ce 3.18
Cu: 0.7500 0.7500 0.7500  4 Ac 3.18, 4 Ce 3.18
Ce: 0.5000 0.5000 0.5000  8 Cu 3.18

As for the space group: Fm-3m, No. 225. Its calculated volume is 99 Å³ per cell.

x.
This record from the Alexandria database describes AcCeCu2 after structural relaxation. The functional is PBE.

Unit cell a=3.7011 b=3.7011 c=7.1799 alpha=90.00 beta=90.00 gamma=90.00
Last column: nearest neighbours and their distance in Å.
Fractional coordinates of all 4 atoms:
Ac: 0.5000 0.5000 0.5000  8 Cu 3.35, 2 Ce 3.59, 4 Ac 3.70
Cu: 0.0000 0.0000 0.7902  1 Cu 3.01, 4 Ce 3.02, 4 Ac 3.35
Cu: 0.0000 0.0000 0.2098  1 Cu 3.01, 4 Ce 3.02, 4 Ac 3.35
Ce: 0.5000 0.5000 0.0000  8 Cu 3.02

As for the space group: P4/mmm, No. 123. Its calculated volume is 98 Å³ per cell.

Tell me which of them is the most stable. Sure, it is x.

w.
This record from the Alexandria database describes AcCeDy2 after structural relaxation. The functional is PBE.

Unit cell a=3.6701 b=3.6701 c=11.9631 alpha=81.18 beta=81.18 gamma=60.00
Last column: nearest neighbours and their distance in Å.
Fractional coordinates of all 4 atoms:
Ac: 0.6664 0.6664 0.0007  6 Ac 3.67, 6 Dy 3.70-3.71
Ce: 0.5003 0.5003 0.4990  6 Dy 3.54-3.56, 6 Ce 3.67
Dy: 0.0860 0.0860 0.7419  3 Ce 3.56, 6 Dy 3.67, 3 Ac 3.71
Dy: 0.2472 0.2472 0.2584  3 Ce 3.54, 6 Dy 3.67, 3 Ac 3.70

As for the space group: R3m, No. 160. Its calculated volume is 137 Å³ per cell.

x.
This record from the Alexandria database describes AcCeDy2 after structural relaxation. The functional is PBE.

Unit cell a=3.6770 b=3.6770 c=10.0775 alpha=90.00 beta=90.00 gamma=90.00
Last column: nearest neighbours and their distance in Å.
Fractional coordinates of all 4 atoms:
Ac: 0.5000 0.5000 0.5000  4 Ac 3.68, 8 Dy 3.77
Ce: 0.5000 0.5000 0.0000  8 Dy 3.48, 4 Ce 3.68
Dy: 0.0000 0.0000 0.7707  4 Ce 3.48, 4 Dy 3.68, 4 Ac 3.77
Dy: 0.0000 0.0000 0.2293  4 Ce 3.48, 4 Dy 3.68, 4 Ac 3.77

As for the space group: P4/mmm, No. 123. Its calculated volume is 136 Å³ per cell.

y.
This record from the Alexandria database describes AcCeDy2 after structural relaxation. The functional is PBE.

Unit cell a=5.8255 b=5.8255 c=5.8255 alpha=60.00 beta=60.00 gamma=60.00
Last column: nearest neighbours and their distance in Å.
Fractional coordinates of all 4 atoms:
Ac: 0.5000 0.5000 0.5000  8 Dy 3.57
Ce: 0.0000 0.0000 0.0000  8 Dy 3.57
Dy: 0.2500 0.2500 0.2500  4 Ce 3.57, 4 Ac 3.57
Dy: 0.7500 0.7500 0.7500  4 Ce 3.57, 4 Ac 3.57

As for the space group: Fm-3m, No. 225. Its calculated volume is 140 Å³ per cell.

Tell me which of them is the most stable. Sure, it is x.

w.
This record from the Alexandria database describes AcCeEr2 after structural relaxation. The functional is PBE.

Unit cell a=3.6847 b=3.6847 c=9.9069 alpha=90.00 beta=90.00 gamma=90.00
Last column: nearest neighbours and their distance in Å.
Fractional coordinates of all 4 atoms:
Ac: 0.5000 0.5000 0.5000  4 Ac 3.68, 8 Er 3.73
Ce: 0.5000 0.5000 0.0000  8 Er 3.46, 4 Ce 3.68
Er: 0.0000 0.0000 0.7700  4 Ce 3.46, 4 Er 3.68, 4 Ac 3.73
Er: 0.0000 0.0000 0.2300  4 Ce 3.46, 4 Er 3.68, 4 Ac 3.73

As for the space group: P4/mmm, No. 123. Its calculated volume is 135 Å³ per cell.

x.
This record from the Alexandria database describes AcCeEr2 after structural relaxation. The functional is PBE.

Unit cell a=3.9194 b=5.9232 c=5.9232 alpha=90.00 beta=90.00 gamma=90.00
Last column: nearest neighbours and their distance in Å.
Fractional coordinates of all 4 atoms:
Ac: 0.5000 0.0000 0.0000  8 Er 3.55, 2 Ac 3.92
Ce: 0.5000 0.5000 0.5000  8 Er 3.55, 2 Ce 3.92
Er: 0.0000 0.0000 0.5000  4 Ac 3.55, 4 Ce 3.55, 2 Er 3.92
Er: 0.0000 0.5000 0.0000  4 Ce 3.55, 4 Ac 3.55, 2 Er 3.92

As for the space group: P4/mmm, No. 123. Its calculated volume is 138 Å³ per cell.

Tell me which of them is the most stable. Sure, it is w.

w.
This record from the Alexandria database describes AcCeEr after structural relaxation. The functional is PBE.

Unit cell a=3.6817 b=3.6817 c=8.8963 alpha=90.00 beta=90.00 gamma=120.00
Last column: nearest neighbours and their distance in Å.
Fractional coordinates of all 3 atoms:
Ac: 0.0000 0.0000 0.9980  6 Ac 3.68, 3 Ce 3.70, 3 Er 3.74
Ce: 0.3333 0.6667 0.6580  3 Er 3.51, 6 Ce 3.68, 3 Ac 3.70
Er: 0.6667 0.3333 0.3440  3 Ce 3.51, 6 Er 3.68, 3 Ac 3.74

As for the space group: P3m1, No. 156. Its calculated volume is 104 Å³ per cell.

x.
This record from the Alexandria database describes AcCeEr after structural relaxation. The functional is PBE.

Unit cell a=3.6972 b=3.6972 c=8.0406 alpha=103.29 beta=103.29 gamma=90.00
Last column: nearest neighbours and their distance in Å.
Fractional coordinates of all 3 atoms:
Ac: 0.9967 0.9967 0.9934  4 Ce 3.67, 4 Ac 3.70, 4 Er 3.78
Ce: 0.3273 0.3273 0.6547  4 Er 3.48, 4 Ac 3.67, 4 Ce 3.70
Er: 0.6759 0.6759 0.3519  4 Ce 3.48, 4 Er 3.70, 4 Ac 3.78

As for the space group: I4mm, No. 107. Its calculated volume is 104 Å³ per cell.

Tell me which of them is the most stable. Sure, it is x.